AlVPO2 | Alexandria | PBE+U | optimized geometry; symmetry = No. 123; energy above the lowest structure with this stoichiometry = 7 kJ/mol of formula units
1.0
3.554 0.000 0.000
0.000 3.554 0.000
0.000 0.000 5.433
Al V P O
1 1 1 2
direct
0.000 0.000 0.000 Al
0.500 0.500 0.500 V
0.000 0.000 0.500 P
0.000 0.500 0.000 O
0.500 0.000 0.000 O

***

AcAgW2O8 | Alexandria | PBE+U | optimized geometry; symmetry = No. 164; VASP energy = -0.5232 Ry/atom
1.0
6.275 0.000 0.000
-3.137 5.434 0.000
0.000 0.000 6.958
Ac Ag W O
1 1 2 8
direct
0.000 0.000 0.000 Ac
0.000 0.000 0.500 Ag
0.333 0.667 0.321 W
0.667 0.333 0.679 W
0.173 0.347 0.235 O
0.173 0.827 0.235 O
0.333 0.667 0.574 O
0.347 0.173 0.765 O
0.653 0.827 0.235 O
0.667 0.333 0.426 O
0.827 0.173 0.765 O
0.827 0.653 0.765 O

***

Quick rundown of magnetic moment, same order as above: 0.305, 0.000 μB per atom
Quick rundown of volume, same order as above: 68.62, 237.25 Å³/cell